Here is an optimized crystal structure of CsRb2Te2 from Alexandria. Energies are from PBE.

Cell lengths 10.525, 10.525, 3.969 Å; angles 90.00, 90.00, 90.00 degrees
Atoms (fractional coordinates):
Cs (0.000, 0.000, 0.000)
Cs (0.500, 0.500, 0.000)
Te (0.177, 0.677, 0.500)
Te (0.677, 0.823, 0.500)
Te (0.823, 0.323, 0.500)
Te (0.323, 0.177, 0.500)
Rb (0.379, 0.879, 0.000)
Rb (0.879, 0.621, 0.000)
Rb (0.621, 0.121, 0.000)
Rb (0.121, 0.379, 0.000)

* ρ: 4.22 g/cm³
* VASP energy: -26.77 eV per cell
* formation energy from raw total energies: -862 meV per atom